# BaEr2CoO5

A relaxed BaEr2CoO5 crystal (PBE with a Hubbard U, OQMD).

Properties
E_tot ... -7.283 eV per atom
Density ... 8.33 g cm⁻³

Lattice parameters (Å, degrees): 3.7270 5.7411 11.3773 90.00 90.00 90.00
Last column: nearest neighbours and their distance in Å.
Space group Immm (No. 71)
Symmetry-distinct sites (fractional):
1 Ba 0.0000 0.0000 0.0000 (multiplicity 2)  10 O 2.87-2.95
2 Er 0.0000 0.5000 0.2037 (multiplicity 4)  7 O 2.21-2.39
3 Co 0.0000 0.0000 0.5000 (multiplicity 2)  2 O 1.86
4 O 0.0000 0.2411 0.3480 (multiplicity 8)  3 Er 2.21-2.39, 1 Co 2.22
5 O 0.0000 0.5000 0.0000 (multiplicity 2)  2 Co 1.86